# 1
VASP calculation (PBE-GGA) on crystalline HfSnMo2As at its relaxed geometry.

Calculated values
crystal system: tetragonal
SG: P4/mmm, No. 123

The structure in extended XYZ format:
```
5
Lattice="4.979 0.000 0.000 0.000 4.979 0.000 0.000 0.000 4.967" Properties=species:S:1:pos:R:3 pbc="T T T"
Hf 0.000 0.000 0.000
Sn 2.489 2.489 2.484
Mo 0.000 2.489 2.484
Mo 2.489 0.000 2.484
As 2.489 2.489 0.000
```

=====

# 2
VASP calculation (PBE-GGA) on crystalline TbHfRuAu at its relaxed geometry.

Calculated values
crystal system: cubic
SG: F-43m, No. 216

The structure in extended XYZ format:
```
4
Lattice="0.000 3.421 3.421 3.421 0.000 3.421 3.421 3.421 0.000" Properties=species:S:1:pos:R:3 pbc="T T T"
Tb 0.000 0.000 0.000
Hf 3.421 3.421 3.421
Ru 1.710 1.710 1.710
Au 5.131 5.131 5.131
```

=====

# 3
VASP calculation (PBE-GGA) on crystalline TiNbRh at its relaxed geometry.

Calculated values
crystal system: orthorhombic
SG: Imm2, No. 44

The structure in extended XYZ format:
```
3
Lattice="-1.417 2.277 3.907 1.417 -2.277 3.907 1.417 2.277 -3.907" Properties=species:S:1:pos:R:3 pbc="T T T"
Ti 0.000 0.000 0.000
Nb 1.417 0.000 2.418
Rh 0.000 0.000 4.892
```

=====

# 4
VASP calculation (PBE-GGA) on crystalline CaPm3Ho6 at its relaxed geometry.

Calculated values
crystal system: monoclinic
SG: C2/m, No. 12

The structure in extended XYZ format:
```
10
Lattice="9.020 -3.433 0.000 9.020 3.433 0.000 -1.417 0.000 5.758" Properties=species:S:1:pos:R:3 pbc="T T T"
Ca 0.000 0.000 0.000
Pm 1.808 0.000 3.460
Pm 8.311 0.000 2.879
Pm 14.814 0.000 2.298
Ho 4.689 1.637 5.166
Ho 5.096 0.000 2.280
Ho 11.932 1.637 0.592
Ho 4.689 -1.637 5.166
Ho 11.525 0.000 3.478
Ho 11.932 -1.637 0.592
```

=====

Listing energy of formation from the pure elements for the structures above in their given order: 856 -180 -19 241 kJ/mol of formula units.
Listing DOS at the Fermi energy for the structures above in their given order: 1.18 1.03 1.02 1.38 states/eV per atom.